[1]
DFT (GGA-PBE) results for a relaxed structure of V13Ge2.

Cell: 6.5791 6.5791 6.5791 Å, 64.05 64.05 64.05°
Closest atoms and distances in Å follow each position.
Fractional positions:
1 V 0.0000 0.0000 0.0000  2 Ge 2.37, 6 V 2.50
2 V 0.1263 0.1263 0.5565  4 V 2.48-2.57, 2 Ge 2.52-2.68
3 V 0.1263 0.5565 0.1263  4 V 2.48-2.57, 2 Ge 2.52-2.68
4 V 0.3084 0.3084 0.6856  7 V 2.48-2.63, 1 Ge 2.63
5 V 0.3084 0.6856 0.3084  7 V 2.48-2.63, 1 Ge 2.63
6 V 0.3144 0.6916 0.6916  7 V 2.48-2.63, 1 Ge 2.63
7 V 0.4435 0.8737 0.8737  4 V 2.48-2.57, 2 Ge 2.52-2.68
8 V 0.5565 0.1263 0.1263  4 V 2.48-2.57, 2 Ge 2.52-2.68
9 V 0.6856 0.3084 0.3084  7 V 2.48-2.63, 1 Ge 2.63
10 V 0.6916 0.3144 0.6916  7 V 2.48-2.63, 1 Ge 2.63
11 V 0.6916 0.6916 0.3144  7 V 2.48-2.63, 1 Ge 2.63
12 V 0.8737 0.4435 0.8737  4 V 2.48-2.57, 2 Ge 2.52-2.68
13 V 0.8737 0.8737 0.4435  4 V 2.48-2.57, 2 Ge 2.52-2.68
14 Ge 0.1521 0.1521 0.1521  7 V 2.37-2.63
15 Ge 0.8479 0.8479 0.8479  7 V 2.37-2.63

Calculated values
Magnetic moment: 0.0000 μB/atom
Space group: R-3m
ΔE_f: 0.2919 eV/atom
Electronic total energy: -123.40 eV/cell

[2]
DFT (GGA-PBE) results for a relaxed structure of V5Ge.

Cell: 4.9146 4.9146 4.2954 Å, 90.00 90.00 128.35°
Closest atoms and distances in Å follow each position.
Fractional positions:
1 V 0.0000 0.0000 0.0000  10 V 2.63-2.90
2 V 0.1716 0.8284 0.5000  6 V 2.55-2.63, 2 Ge 2.62
3 V 0.3282 0.6718 0.0000  6 V 2.55-2.63, 2 Ge 2.63
4 V 0.6718 0.3282 0.0000  6 V 2.55-2.63, 2 Ge 2.63
5 V 0.8284 0.1716 0.5000  6 V 2.55-2.63, 2 Ge 2.62
6 Ge 0.5000 0.5000 0.5000  10 V 2.62-2.91

Calculated values
Distance to the lowest polymorph of the same formula: 37 meV/atom
Magnetic moment: 0.0000 μB/atom
Space group: Cmmm
ΔE_f: -0.1388 eV/atom
Electronic total energy: -51.04 eV/cell

[3]
DFT (GGA-PBE) results for a relaxed structure of V4Ge3.

Cell: 6.8113 6.8113 6.8113 Å, 113.55 113.55 113.55°
Closest atoms and distances in Å follow each position.
Fractional positions:
1 V 0.0000 0.0000 0.0000  2 V 2.64, 6 Ge 2.73
2 V 0.0583 0.7366 0.5828  7 Ge 2.54-2.75, 3 V 2.57-2.75
3 V 0.2634 0.4172 0.9417  7 Ge 2.54-2.75, 3 V 2.57-2.75
4 V 0.4172 0.9417 0.2634  7 Ge 2.54-2.75, 3 V 2.57-2.75
5 V 0.5000 0.5000 0.5000  6 Ge 2.58, 2 V 2.64
6 V 0.5828 0.0583 0.7366  7 Ge 2.54-2.75, 3 V 2.57-2.75
7 V 0.7366 0.5828 0.0583  7 Ge 2.54-2.75, 3 V 2.57-2.75
8 V 0.9417 0.2634 0.4172  7 Ge 2.54-2.75, 3 V 2.57-2.75
9 Ge 0.1077 0.5019 0.2303  9 V 2.54-2.75
10 Ge 0.2303 0.1077 0.5019  9 V 2.54-2.75
11 Ge 0.4981 0.7697 0.8923  9 V 2.54-2.75
12 Ge 0.5019 0.2303 0.1077  9 V 2.54-2.75
13 Ge 0.7697 0.8923 0.4981  9 V 2.54-2.75
14 Ge 0.8923 0.4981 0.7697  9 V 2.54-2.75

Calculated values
Magnetic moment: 0.0769 μB/atom
Space group: R-3
ΔE_f: -0.1719 eV/atom
Electronic total energy: -103.06 eV/cell

[4]
DFT (GGA-PBE) results for a relaxed structure of VGe.

Cell: 6.3043 6.0142 4.9913 Å, 69.18 63.09 47.73°
Closest atoms and distances in Å follow each position.
Fractional positions:
1 V 0.0805 0.6695 0.0805  6 Ge 2.50-2.58
2 V 0.3305 0.9195 0.3305  6 Ge 2.50-2.58
3 V 0.6695 0.0805 0.6695  6 Ge 2.50-2.58
4 V 0.9195 0.3305 0.9195  6 Ge 2.50-2.58
5 Ge 0.1747 0.5753 0.5753  6 V 2.50-2.58, 1 Ge 2.62
6 Ge 0.4247 0.8253 0.8253  6 V 2.50-2.58, 1 Ge 2.62
7 Ge 0.5753 0.1747 0.1747  6 V 2.50-2.58, 1 Ge 2.62
8 Ge 0.8253 0.4247 0.4247  6 V 2.50-2.58, 1 Ge 2.62

Calculated values
Magnetic moment: 0.4095 μB/atom
Space group: Fddd
ΔE_f: 0.0656 eV/atom
Electronic total energy: -54.42 eV/cell

[5]
DFT (GGA-PBE) results for a relaxed structure of VGe.

Cell: 4.2956 4.2956 4.8735 Å, 90.00 90.00 120.00°
Closest atoms and distances in Å follow each position.
Fractional positions:
1 V 0.3333 0.6667 0.2500  5 Ge 2.44-2.48
2 V 0.6667 0.3333 0.7500  5 Ge 2.44-2.48
3 Ge 0.3333 0.6667 0.7500  5 V 2.44-2.48
4 Ge 0.6667 0.3333 0.2500  5 V 2.44-2.48

Calculated values
Magnetic moment: 0.3676 μB/atom
Space group: P6_3/mmc
ΔE_f: 0.3018 eV/atom
Electronic total energy: -26.26 eV/cell

[6]
DFT (GGA-PBE) results for a relaxed structure of VGe.

Cell: 4.9154 4.9154 4.9154 Å, 146.26 114.14 76.08°
Closest atoms and distances in Å follow each position.
Fractional positions:
1 V 0.2067 0.2067 0.0000  6 Ge 2.57-2.59, 2 V 2.85
2 V 0.7933 0.7933 0.0000  6 Ge 2.57-2.59, 2 V 2.85
3 Ge 0.2659 0.5000 0.7659  1 Ge 2.50, 6 V 2.57-2.59
4 Ge 0.7341 0.5000 0.2341  1 Ge 2.50, 6 V 2.57-2.59

Calculated values
Magnetic moment: 0.0000 μB/atom
Space group: Immm
ΔE_f: -0.1645 eV/atom
Electronic total energy: -28.13 eV/cell